Compound: CsTlSe2
Source: Alexandria via LeMat-Bulk
Functional: GGA-PBE
Structure: optimized geometry

Cell lengths 7.039, 10.179, 5.705 Å; angles 100.24, 118.55, 73.65 degrees
Positions (direct):
Tl 0.634 0.489 0.833
Tl 0.132 0.285 0.726
Cs 0.181 0.736 0.121
Cs 0.584 0.038 0.438
Se 0.213 0.975 0.700
Se 0.535 0.369 0.222
Se 0.553 0.798 0.859
Se 0.232 0.405 0.338

Values from the calculation:
V, A^3/atom: 43.01
Formation energy from raw total energies, meV per atom: -632